First-principles (PBE+U) data for crystalline NaMnPO4 at its relaxed geometry, as listed in Alexandria.

```
NaMnPO4
1.0
5.3139 0.0000 0.0000
0.0000 5.6062 0.0000
-1.7278 0.0000 6.1115
Na Mn P O
2 2 2 8
direct
0.1937 0.2500 0.4290
0.8063 0.7500 0.5710
0.3021 0.2500 0.9663
0.6979 0.7500 0.0337
0.2404 0.7500 0.1727
0.7596 0.2500 0.8273
0.0550 0.7500 0.3231
0.0691 0.7500 0.9329
0.4323 0.5304 0.2127
0.4323 0.9696 0.2127
0.5677 0.0304 0.7873
0.5677 0.4696 0.7873
0.9309 0.2500 0.0671
0.9450 0.2500 0.6769
```

Calculated values
Total magnetic moment ... 0.714 μB/atom
Space-group type ... P2_1/m
E_tot ... -6.9665 eV per atom